# 1
This record from Alexandria via LeMat-Bulk describes crystalline Na2SiH at its relaxed geometry. The functional is PBE-GGA.

It has space group I-42d (No. 122), with a = 6.451 Å, b = 6.451 Å, c = 7.900 Å, α = 90.00°, β = 90.00° and γ = 90.00°. The asymmetric unit holds Na at (0.136, 0.750, 0.125), Si at (0.000, 0.000, 0.500) and H at (0.000, 0.000, 0.000).

As for the density of states at the Fermi level: 0.057 states/eV/atom. The excess energy over the best structure of this formula in the dataset is 0.000 eV per atom.

---

# 2
This record from Alexandria via LeMat-Bulk describes crystalline Na2SiH6 at its relaxed geometry. The functional is PBE-GGA.

It has space group Fm-3m (No. 225), with a = 7.032 Å, b = 7.032 Å, c = 7.032 Å, α = 90.00°, β = 90.00° and γ = 90.00°. The asymmetric unit holds Na at (0.250, 0.250, 0.250), Si at (0.000, 0.000, 0.000) and H at (0.000, 0.000, 0.229).

The excess energy over the best structure of this formula in the dataset is 0.000 eV per atom.

---

# 3
This record from Alexandria via LeMat-Bulk describes crystalline Na3SiH7 at its relaxed geometry. The functional is PBE-GGA.

It has space group Cm (No. 8), with a = 6.822 Å, b = 6.608 Å, c = 5.241 Å, α = 90.00°, β = 94.24° and γ = 90.00°. The asymmetric unit holds Na at (0.000, 0.000, 0.000), Na at (0.249, 0.250, 0.500), Si at (0.496, 0.000, 0.000), H at (0.117, 0.500, 0.745), H at (0.137, 0.328, 0.121), H at (0.354, 0.172, 0.881), H at (0.374, 0.000, 0.255) and H at (0.498, 0.500, 0.501).

As for the density of states at the Fermi level: 0.000 states/eV/atom.

---

# 4
This record from Alexandria via LeMat-Bulk describes crystalline Na2SiH5 at its relaxed geometry. The functional is PBE-GGA.

It has space group Cm (No. 8), with a = 6.679 Å, b = 7.285 Å, c = 4.920 Å, α = 90.00°, β = 132.28° and γ = 90.00°. The asymmetric unit holds Na at (0.000, 0.249, 0.000), Si at (0.007, 0.500, 0.500), H at (0.009, 0.272, 0.500), H at (0.237, 0.500, 0.957), H at (0.278, 0.000, 0.503) and H at (0.281, 0.000, 0.044).

As for the density of states at the Fermi level: 0.163 states/eV/atom.

---

# 5
This record from Alexandria via LeMat-Bulk describes crystalline NaSiH3 at its relaxed geometry. The functional is PBE-GGA.

It has space group Pm-3m (No. 221), with a = 3.776 Å, b = 3.776 Å, c = 3.776 Å, α = 90.00°, β = 90.00° and γ = 90.00°. The asymmetric unit holds Na at (0.000, 0.000, 0.000), Si at (0.500, 0.500, 0.500) and H at (0.000, 0.000, 0.500).

As for the density of states at the Fermi level: 0.197 states/eV/atom. The excess energy over the best structure of this formula in the dataset is 0.983 eV per atom.

---

# 6
This record from Alexandria via LeMat-Bulk describes crystalline Na3Si2H8 at its relaxed geometry. The functional is PBE-GGA.

It has space group R-3m (No. 166, hexagonal axes), with a = 4.3647 Å, b = 4.3647 Å, c = 32.1353 Å, α = 90.00°, β = 90.00° and γ = 120.00°. The asymmetric unit holds Na at (0.0000, 0.0000, 0.0000), Na at (0.0000, 0.0000, 0.2042), Si at (0.0000, 0.0000, 0.3908), H at (0.0000, 0.0000, 0.3414) and H at (0.0291, 0.5145, 0.7450).

As for the density of states at the Fermi level: 0.170 states/eV/atom.

---

# 7
This record from Alexandria via LeMat-Bulk describes crystalline NaSi2H at its relaxed geometry. The functional is PBE-GGA.

It has space group I4_1/amd (No. 141, origin choice 2), with a = 4.980 Å, b = 4.980 Å, c = 11.491 Å, α = 90.00°, β = 90.00° and γ = 90.00°. The asymmetric unit holds Na at (0.000, 0.250, 0.375), Si at (0.000, 0.000, 0.000) and H at (0.000, 0.250, 0.875).

As for the density of states at the Fermi level: 0.217 states/eV/atom. The excess energy over the best structure of this formula in the dataset is 0.000 eV per atom.

---

# 8
This record from Alexandria via LeMat-Bulk describes crystalline NaTlSiH6 at its relaxed geometry. The functional is PBE-GGA.

It has space group C2 (No. 5), with a = 5.239 Å, b = 9.097 Å, c = 4.904 Å, α = 90.00°, β = 90.07° and γ = 90.00°. The asymmetric unit holds Na at (0.000, 0.000, 0.000), Tl at (0.000, 0.666, 0.500), Si at (0.000, 0.333, 0.000), H at (0.123, 0.208, 0.806), H at (0.125, 0.457, 0.806) and H at (0.249, 0.334, 0.193).

---

# 9
This record from Alexandria via LeMat-Bulk describes crystalline NaSi2HW at its relaxed geometry. The functional is PBE-GGA.

It has space group P4/mmm (No. 123), with a = 4.384 Å, b = 4.384 Å, c = 3.540 Å, α = 90.00°, β = 90.00° and γ = 90.00°. The asymmetric unit holds Na at (0.000, 0.000, 0.000), Si at (0.000, 0.500, 0.500), H at (0.500, 0.500, 0.500) and W at (0.500, 0.500, 0.000).

As for the density of states at the Fermi level: 0.283 states/eV/atom.

---

# 10
This record from Alexandria via LeMat-Bulk describes crystalline NaYSi2H at its relaxed geometry. The functional is PBE-GGA.

It has space group P4/mmm (No. 123), with a = 4.423 Å, b = 4.423 Å, c = 4.282 Å, α = 90.00°, β = 90.00° and γ = 90.00°. The asymmetric unit holds Na at (0.000, 0.000, 0.000), Y at (0.500, 0.500, 0.000), Si at (0.000, 0.500, 0.500) and H at (0.500, 0.500, 0.500).

As for the density of states at the Fermi level: 0.499 states/eV/atom.

---

# 11
This record from Alexandria via LeMat-Bulk describes crystalline NaSmH at its relaxed geometry. The functional is PBE-GGA.

It has space group C2/m (No. 12), with a = 12.121 Å, b = 3.264 Å, c = 9.000 Å, α = 90.00°, β = 128.35° and γ = 90.00°. The asymmetric unit holds Na at (0.076, 0.000, 0.378), Sm at (0.179, 0.500, 0.111) and H at (0.230, 0.500, 0.654).

As for the density of states at the Fermi level: 0.864 states/eV/atom. The excess energy over the best structure of this formula in the dataset is 0.079 eV per atom.

---

# 12
This record from Alexandria via LeMat-Bulk describes crystalline Na2SmH6 at its relaxed geometry. The functional is PBE-GGA.

It has space group Fm-3m (No. 225), with a = 8.099 Å, b = 8.099 Å, c = 8.099 Å, α = 90.00°, β = 90.00° and γ = 90.00°. The asymmetric unit holds Na at (0.250, 0.250, 0.250), Sm at (0.000, 0.000, 0.000) and H at (0.000, 0.000, 0.271).

As for the density of states at the Fermi level: 0.420 states/eV/atom.

---

For each record above, in turn, the calculated total magnetization values are 0.000; 0.000; 0.000; 0.000; 0.000; 0.000; 0.000; 0.000; 0.000; 0.000; 0.003; 0.000 μB per atom.
For each record above, in turn, the calculated uncorrected energy values are -2.479; -3.215; -3.083; -3.086; -2.425; -3.066; -3.400; -3.197; -5.018; -4.368; -3.120; -2.750 eV per atom.